Entry from Alexandria: a relaxed structure of PaCrGeO6 (PBE with a Hubbard U).

Cell lengths 5.2390, 5.2390, 8.7133 Å; angles 90.00, 90.00, 120.00 degrees
Closest atoms and distances in Å follow each position.
Positions (direct):
Pa: 0.3333 0.6667 0.2500  6 O 2.18
Pa: 0.6667 0.3333 0.7500  6 O 2.18
Cr: 0.3333 0.6667 0.7500  6 O 2.05
Cr: 0.6667 0.3333 0.2500  6 O 2.05
Ge: 0.0000 0.0000 0.0000  6 O 1.97
Ge: 0.0000 0.0000 0.5000  6 O 1.97
O: 0.0209 0.3250 0.6226  1 Ge 1.97, 1 Cr 2.05, 1 Pa 2.18
O: 0.0209 0.6958 0.8774  1 Ge 1.97, 1 Cr 2.05, 1 Pa 2.18
O: 0.3042 0.3250 0.8774  1 Ge 1.97, 1 Cr 2.05, 1 Pa 2.18
O: 0.3042 0.9791 0.6226  1 Ge 1.97, 1 Cr 2.05, 1 Pa 2.18
O: 0.3250 0.0209 0.1226  1 Ge 1.97, 1 Cr 2.05, 1 Pa 2.18
O: 0.3250 0.3042 0.3774  1 Ge 1.97, 1 Cr 2.05, 1 Pa 2.18
O: 0.6750 0.6958 0.6226  1 Ge 1.97, 1 Cr 2.05, 1 Pa 2.18
O: 0.6750 0.9791 0.8774  1 Ge 1.97, 1 Cr 2.05, 1 Pa 2.18
O: 0.6958 0.0209 0.3774  1 Ge 1.97, 1 Cr 2.05, 1 Pa 2.18
O: 0.6958 0.6750 0.1226  1 Ge 1.97, 1 Cr 2.05, 1 Pa 2.18
O: 0.9791 0.3042 0.1226  1 Ge 1.97, 1 Cr 2.05, 1 Pa 2.18
O: 0.9791 0.6750 0.3774  1 Ge 1.97, 1 Cr 2.05, 1 Pa 2.18

Values from the calculation:
Energy = -7.9749 eV/atom
Space group = P-31c, No. 163